{"formula": "TbErMg2Sn2", "functional": "PBE-GGA", "state": "optimized geometry", "energy_ev_per_cell": -23.7, "mass_density_g_cm3": 6.66, "lattice": [[-2.1932, 2.1932, 7.9329], [2.1932, -2.1932, 7.9329], [2.1932, 2.1932, -7.9329]], "species": ["Tb", "Er", "Mg", "Mg", "Sn", "Sn"], "frac_coords": [[0.0000, 0.0000, 0.0000], [0.3336, 0.3336, 0.0000], [0.1673, 0.6673, 0.5000], [0.6673, 0.1673, 0.5000], [0.5309, 0.5309, 0.0000], [0.8027, 0.8027, 0.0000]]}

{"formula": "ErTmMg2Sn2", "functional": "PBE-GGA", "state": "optimized geometry", "energy_ev_per_cell": -23.4, "mass_density_g_cm3": 6.89, "lattice": [[-2.1799, 2.1799, 7.8924], [2.1799, -2.1799, 7.8924], [2.1799, 2.1799, -7.8924]], "species": ["Er", "Tm", "Mg", "Mg", "Sn", "Sn"], "frac_coords": [[0.0000, 0.0000, 0.0000], [0.3345, 0.3345, 0.0000], [0.1673, 0.6673, 0.5000], [0.6673, 0.1673, 0.5000], [0.5307, 0.5307, 0.0000], [0.8038, 0.8038, 0.0000]]}

- What is the formula in the second record?
  ErTmMg2Sn2